VASP calculation (PBE with a Hubbard U) on VCr2O6 after structural relaxation.

CIF file:
```
data_VCr2O6
_chemical_formula_sum 'V2 Cr4 O12'
_symmetry_space_group_name_H-M 'P n n m'
_symmetry_Int_Tables_number 58
_symmetry_space_group_name_Hall '-P 2 2n'
_cell_length_a 4.620
_cell_length_b 4.994
_cell_length_c 8.368
_cell_angle_alpha 90.00
_cell_angle_beta 90.00
_cell_angle_gamma 90.00
loop_
_atom_site_label
_atom_site_fract_x
_atom_site_fract_y
_atom_site_fract_z
V1 0.000 0.000 0.000
Cr1 0.000 0.500 0.186
O1 0.199 0.322 0.000
O2 0.230 0.839 0.165
```

## Properties
distance to the lowest polymorph of the same formula	39	meV per atom
magnetization	0.56	μB/atom
DOS(E_F)	2.66	states/eV/f.u.